(1)
The following is a DFT calculation (PBE) of ReRh2Pb2 after structural relaxation.

Structure (POSCAR):
```
ReRh2Pb2
1.0
-0.273 -5.794 -3.181
-2.890 -2.759 5.273
-4.197 1.135 -1.707
Rh Pb Re
4 4 2
Direct
0.645 0.145 0.000
0.855 0.645 0.000
0.145 0.355 0.000
0.355 0.855 0.000
0.676 0.824 0.500
0.824 0.324 0.500
0.176 0.676 0.500
0.324 0.176 0.500
0.500 0.500 0.000
0.000 0.000 0.000
```

Properties
Symmetry: P4/mbm, No. 127



(2)
The following is a DFT calculation (PBE) of ReRh2Pb after structural relaxation.

Structure (POSCAR):
```
ReRh2Pb
1.0
-2.201 5.217 -0.984
-2.707 -0.186 5.067
2.300 5.017 4.673
Pb Rh Re
2 4 2
Direct
0.000 0.000 0.000
0.750 0.250 0.500
0.171 0.625 0.250
0.375 0.421 0.750
0.875 0.829 0.750
0.579 0.125 0.250
0.500 0.500 0.000
0.250 0.750 0.500
```

Properties
Symmetry: I-42d, No. 122



(3)
The following is a DFT calculation (PBE) of ReRhPb after structural relaxation.

Structure (POSCAR):
```
ReRhPb
1.0
-1.489 1.489 6.167
1.489 -1.489 6.167
1.489 1.489 -6.167
Re Pb Rh
1 1 1
Direct
0.686 0.686 0.000
0.002 0.002 0.000
0.312 0.312 0.000
```

Properties
Symmetry: I4mm, No. 107



(4)
The following is a DFT calculation (PBE) of ReRh2Pb after structural relaxation.

Structure (POSCAR):
```
ReRh2Pb
1.0
-0.571 -1.406 4.560
1.905 -2.606 3.560
2.692 3.613 2.332
Pb Rh Re
1 2 1
Direct
0.500 0.500 0.479
0.004 0.004 0.972
0.254 0.254 0.242
0.743 0.743 0.807
```

Properties
Symmetry: Cm, No. 8



| no. | formation energy (eV per formula unit) |
| --- | --- |
| 1 | 2.9 |
| 2 | 3.6 |
| 3 | 1.3 |
| 4 | 1.2 |